DFT (SCAN) results for Be2SiSb at its PBEsol-relaxed geometry.

a b c (Å): 2.8279 3.3512 6.5293
angles (deg): 90.00 90.00 90.00
Last column: nearest neighbours and their distance in Å.
Sites, in units of the cell vectors:
Sb: 0.0000 0.0000 0.4353  5 Be 2.68-2.70, 2 Sb 2.83
Be: 0.5000 0.5000 0.1927  1 Si 2.26, 4 Be 2.45
Be: 0.0000 0.0000 0.0255  4 Be 2.45, 4 Si 2.48, 1 Sb 2.68
Si: 0.5000 0.5000 0.8465  5 Be 2.26-2.48

Raw formation energy = 0.5406 eV/atom
Crystal system = orthorhombic
Calculated total energy = -53.8 eV/cell
Space-group type = No. 25
E above lowest polymorph = 0.0 meV/atom